[1]
Li3Sb2Pd7: optimized geometry, PBE-GGA.

The symmetry is P2/m, No. 10. The calculated volume comes out at 221.0 Å³/cell. The calculation puts the electronic total energy at -4.51 eV/atom. The calculation puts the density of states at the Fermi level at 6.24 states/eV/cell.

Cell: 3.8189 4.0587 14.4146 Å, 98.53 90.00 90.00°
Sites, in units of the cell vectors:
Pd 0.5000 0.2825 0.5608
Pd 0.5000 0.7175 0.4392
Pd 0.0000 0.5706 0.1363
Pd 0.0000 0.4294 0.8637
Pd 0.5000 0.9253 0.8564
Pd 0.5000 0.0747 0.1436
Pd 0.0000 0.0000 0.0000
Li 0.5000 0.5000 0.0000
Li 0.0000 0.2034 0.4125
Li 0.0000 0.7966 0.5875
Sb 0.5000 0.3629 0.7382
Sb 0.5000 0.6371 0.2618


[2]
TlRuI6: optimized geometry, PBE-GGA.

The symmetry is R-3, No. 148. The calculated volume comes out at 306.3 Å³/cell. The calculation puts the electronic total energy at -2.70 eV/atom. The calculation puts the density of states at the Fermi level at 10.47 states/eV/cell.

Cell: 7.3101 7.3094 7.8525 Å, 62.25 62.25 59.99°
Site moments in Bohr magnetons follow the coordinates.
Sites, in units of the cell vectors:
I 0.7997 0.0280 0.7697  0.10
I 0.5972 0.2005 0.2302  0.10
I 0.4028 0.7995 0.7698  0.10
I 0.9720 0.5972 0.2302  0.10
I 0.2003 0.9720 0.2303  0.10
I 0.0280 0.4028 0.7698  0.10
Ru 0.0000 0.0000 0.0000  1.01
Tl 0.5000 0.5000 0.5000  0.03


[3]
Li3ErMg12: optimized geometry, PBE-GGA.

The symmetry is P4/mmm, No. 123. The calculated volume comes out at 365.0 Å³/cell. The calculation puts the electronic total energy at -1.87 eV/atom. As for the formation energy: -0.026 eV/atom. The calculation puts the density of states at the Fermi level at 6.92 states/eV/cell.

Cell: 4.4813 4.4813 18.1746 Å, 90.00 90.00 90.00°
Sites, in units of the cell vectors:
Mg 0.0000 0.5000 0.6218
Mg 0.5000 0.0000 0.3782
Mg 0.5000 0.0000 0.6218
Mg 0.0000 0.5000 0.3782
Mg 0.5000 0.0000 0.1329
Mg 0.0000 0.5000 0.8671
Mg 0.5000 0.0000 0.8671
Mg 0.0000 0.5000 0.1329
Mg 0.5000 0.5000 0.7421
Mg 0.5000 0.5000 0.5000
Mg 0.5000 0.5000 0.2579
Mg 0.5000 0.5000 0.0000
Li 0.0000 0.0000 0.2539
Li 0.0000 0.0000 0.5000
Li 0.0000 0.0000 0.7461
Er 0.0000 0.0000 0.0000


[4]
Rb3U2S5Br2: optimized geometry, PBE-GGA.

The symmetry is I4/mmm, No. 139. The calculated volume comes out at 388.9 Å³/cell. The calculation puts the electronic total energy at -5.58 eV/atom. The calculation puts the density of states at the Fermi level at 13.87 states/eV/cell.

Cell: 5.2429 5.2429 14.6258 Å, 100.33 100.33 90.00°
Site moments in Bohr magnetons follow the coordinates.
Sites, in units of the cell vectors:
Br 0.3041 0.3041 0.6081  -0.01
Br 0.6959 0.6959 0.3919  -0.01
Rb 0.8219 0.8219 0.6438  0.00
Rb 0.0000 0.0000 0.0000  0.00
Rb 0.1781 0.1781 0.3562  0.00
S 0.9053 0.4053 0.8107  -0.07
S 0.4053 0.9053 0.8107  -0.07
S 0.5947 0.0947 0.1893  -0.07
S 0.5000 0.5000 0.0000  -0.08
S 0.0947 0.5947 0.1893  -0.07
U 0.4083 0.4083 0.8165  1.68
U 0.5917 0.5917 0.1835  1.68


[5]
VPbSeBr2: optimized geometry, PBE-GGA.

As for the energy above the most stable polymorph in this dataset: 0.000 eV per atom. The symmetry is P4/mmm, No. 123. The calculated volume comes out at 147.7 Å³/cell. The calculation puts the electronic total energy at -4.12 eV/atom. The calculation puts the density of states at the Fermi level at 7.33 states/eV/cell.

Cell: 5.3111 5.3111 5.2379 Å, 90.00 90.00 90.00°
Site moments in Bohr magnetons follow the coordinates.
Sites, in units of the cell vectors:
Br 0.0000 0.5000 0.0000  0.01
Br 0.5000 0.0000 0.0000  0.01
Pb 0.5000 0.5000 0.5000  0.07
V 0.0000 0.0000 0.0000  -0.44
Se 0.0000 0.0000 0.5000  0.00


[6]
LaHoP2S8: optimized geometry, PBE-GGA.

The symmetry is P-3m1, No. 164. The calculated volume comes out at 325.4 Å³/cell. The calculation puts the electronic total energy at -5.28 eV/atom. The calculation puts the density of states at the Fermi level at 0.56 states/eV/cell.

Cell: 6.6024 6.6024 8.6194 Å, 90.00 90.00 120.00°
Sites, in units of the cell vectors:
P 0.3333 0.6667 0.6934
P 0.6667 0.3333 0.3066
S 0.1636 0.8364 0.7743
S 0.8364 0.6729 0.2257
S 0.3333 0.6667 0.4636
S 0.6667 0.3333 0.5364
S 0.3271 0.1636 0.2257
S 0.6729 0.8364 0.7743
S 0.8364 0.1636 0.2257
S 0.1636 0.3271 0.7743
Ho 0.0000 0.0000 0.0000
La 0.0000 0.0000 0.5000